1.
Compound: TcTeIr2
Source: Alexandria via LeMat-Bulk
Functional: PBE-GGA
Structure: relaxed

Calculated values
Energy (eV/atom): -7.3014

Geometry as CIF:
```
data_TcTeIr2
_cell_length_a 8.870
_cell_length_b 8.870
_cell_length_c 8.870
_cell_angle_alpha 19.21
_cell_angle_beta 19.21
_cell_angle_gamma 19.21
_space_group_name_H-M_alt 'P 1'
_space_group_IT_number 1
loop_
_space_group_symop_operation_xyz
'x,y,z'
loop_
_atom_site_label
_atom_site_type_symbol
_atom_site_fract_x
_atom_site_fract_y
_atom_site_fract_z
Tc1 Tc 0.000 0.000 0.000
Te1 Te 0.248 0.248 0.248
Ir1 Ir 0.497 0.497 0.497
Ir2 Ir 0.745 0.745 0.745
```

=====

2.
Compound: BaAl2Au5
Source: Alexandria via LeMat-Bulk
Functional: PBE-GGA
Structure: relaxed

Calculated values
Energy (eV/atom): -3.7075
Formation energy from the elements (meV/atom): -483

Geometry as CIF:
```
data_BaAl2Au5
_cell_length_a 6.958
_cell_length_b 6.958
_cell_length_c 6.958
_cell_angle_alpha 143.25
_cell_angle_beta 118.30
_cell_angle_gamma 74.02
_space_group_name_H-M_alt 'P 1'
_space_group_IT_number 1
loop_
_space_group_symop_operation_xyz
'x,y,z'
loop_
_atom_site_label
_atom_site_type_symbol
_atom_site_fract_x
_atom_site_fract_y
_atom_site_fract_z
Ba1 Ba 0.000 0.000 0.000
Al1 Al 0.267 0.767 0.500
Al2 Al 0.733 0.233 0.500
Au1 Au 0.155 0.354 0.801
Au2 Au 0.447 0.646 0.801
Au3 Au 0.500 0.000 0.500
Au4 Au 0.553 0.354 0.199
Au5 Au 0.845 0.646 0.199
```

=====

3.
Compound: SrAl3Au3
Source: Alexandria via LeMat-Bulk
Functional: PBE-GGA
Structure: relaxed

Calculated values
Polymorph energy (0 for the lowest one) (eV per atom): 0.000
Energy (eV/atom): -3.7689
Formation energy from the elements (meV/atom): -520

Geometry as CIF:
```
data_SrAl3Au3
_cell_length_a 7.596
_cell_length_b 4.588
_cell_length_c 9.205
_cell_angle_alpha 90.00
_cell_angle_beta 111.39
_cell_angle_gamma 90.00
_space_group_name_H-M_alt 'P 1'
_space_group_IT_number 1
loop_
_space_group_symop_operation_xyz
'x,y,z'
loop_
_atom_site_label
_atom_site_type_symbol
_atom_site_fract_x
_atom_site_fract_y
_atom_site_fract_z
Sr1 Sr 0.059 0.250 0.217
Sr2 Sr 0.941 0.750 0.783
Al1 Al 0.227 0.250 0.674
Al2 Al 0.381 0.750 0.097
Al3 Al 0.474 0.750 0.711
Al4 Al 0.526 0.250 0.289
Al5 Al 0.619 0.250 0.903
Al6 Al 0.773 0.750 0.326
Au1 Au 0.129 0.750 0.525
Au2 Au 0.300 0.250 0.972
Au3 Au 0.434 0.750 0.393
Au4 Au 0.566 0.250 0.607
Au5 Au 0.700 0.750 0.028
Au6 Au 0.871 0.250 0.475
```

=====

4.
Compound: TbNd4
Source: Alexandria via LeMat-Bulk
Functional: PBE-GGA
Structure: relaxed

Calculated values
Polymorph energy (0 for the lowest one) (eV per atom): 0.614
Energy (eV/atom): -4.1162
Formation energy from the elements (meV/atom): 624

Geometry as CIF:
```
data_TbNd4
_cell_length_a 5.843
_cell_length_b 5.843
_cell_length_c 5.843
_cell_angle_alpha 90.00
_cell_angle_beta 90.00
_cell_angle_gamma 90.00
_space_group_name_H-M_alt 'P 1'
_space_group_IT_number 1
loop_
_space_group_symop_operation_xyz
'x,y,z'
loop_
_atom_site_label
_atom_site_type_symbol
_atom_site_fract_x
_atom_site_fract_y
_atom_site_fract_z
Tb1 Tb 0.000 0.000 0.000
Nd1 Nd 0.000 0.000 0.500
Nd2 Nd 0.000 0.500 0.000
Nd3 Nd 0.500 0.000 0.000
Nd4 Nd 0.500 0.500 0.500
```

=====

5.
Compound: LaTb7Dy12
Source: Alexandria via LeMat-Bulk
Functional: PBE-GGA
Structure: relaxed

Calculated values
Energy (eV/atom): -4.3907
Formation energy from the elements (meV/atom): 238

Geometry as CIF:
```
data_LaTb7Dy12
_cell_length_a 8.723
_cell_length_b 8.723
_cell_length_c 8.723
_cell_angle_alpha 87.33
_cell_angle_beta 87.33
_cell_angle_gamma 87.33
_space_group_name_H-M_alt 'P 1'
_space_group_IT_number 1
loop_
_space_group_symop_operation_xyz
'x,y,z'
loop_
_atom_site_label
_atom_site_type_symbol
_atom_site_fract_x
_atom_site_fract_y
_atom_site_fract_z
La1 La 0.000 0.000 0.000
Tb1 Tb 0.003 0.369 0.876
Tb2 Tb 0.124 0.997 0.631
Tb3 Tb 0.369 0.876 0.003
Tb4 Tb 0.500 0.500 0.500
Tb5 Tb 0.631 0.124 0.997
Tb6 Tb 0.876 0.003 0.369
Tb7 Tb 0.997 0.631 0.124
Dy1 Dy 0.106 0.346 0.434
Dy2 Dy 0.232 0.762 0.355
Dy3 Dy 0.238 0.645 0.768
Dy4 Dy 0.346 0.434 0.106
Dy5 Dy 0.355 0.232 0.762
Dy6 Dy 0.434 0.106 0.346
Dy7 Dy 0.566 0.894 0.654
Dy8 Dy 0.645 0.768 0.238
Dy9 Dy 0.654 0.566 0.894
Dy10 Dy 0.762 0.355 0.232
Dy11 Dy 0.768 0.238 0.645
Dy12 Dy 0.894 0.654 0.566
```

=====

6.
Compound: Sr2AlCoPd
Source: Alexandria via LeMat-Bulk
Functional: PBE-GGA
Structure: relaxed

Calculated values
Energy (eV/atom): -3.5769
Formation energy from the elements (meV/atom): 304

Geometry as CIF:
```
data_Sr2AlCoPd
_cell_length_a 5.614
_cell_length_b 5.614
_cell_length_c 4.635
_cell_angle_alpha 90.00
_cell_angle_beta 90.00
_cell_angle_gamma 90.00
_space_group_name_H-M_alt 'P 1'
_space_group_IT_number 1
loop_
_space_group_symop_operation_xyz
'x,y,z'
loop_
_atom_site_label
_atom_site_type_symbol
_atom_site_fract_x
_atom_site_fract_y
_atom_site_fract_z
Sr1 Sr 0.000 0.500 0.000
Sr2 Sr 0.500 0.000 0.000
Al1 Al 0.000 0.000 0.500
Co1 Co 0.500 0.500 0.000
Pd1 Pd 0.500 0.500 0.500
```

=====

7.
Compound: Ce2HoCu
Source: Alexandria via LeMat-Bulk
Functional: PBE-GGA
Structure: relaxed

Calculated values
Polymorph energy (0 for the lowest one) (eV per atom): 0.093
Energy (eV/atom): -4.9847
Formation energy from the elements (meV/atom): 151

Geometry as CIF:
```
data_Ce2HoCu
_cell_length_a 10.248
_cell_length_b 10.248
_cell_length_c 10.248
_cell_angle_alpha 19.63
_cell_angle_beta 19.63
_cell_angle_gamma 19.63
_space_group_name_H-M_alt 'P 1'
_space_group_IT_number 1
loop_
_space_group_symop_operation_xyz
'x,y,z'
loop_
_atom_site_label
_atom_site_type_symbol
_atom_site_fract_x
_atom_site_fract_y
_atom_site_fract_z
Ce1 Ce 0.238 0.238 0.238
Ce2 Ce 0.762 0.762 0.762
Ho1 Ho 0.000 0.000 0.000
Cu1 Cu 0.500 0.500 0.500
```

=====

8.
Compound: DyHo3Fe8
Source: Alexandria via LeMat-Bulk
Functional: PBE-GGA
Structure: relaxed

Calculated values
Energy (eV/atom): -7.2659
Formation energy from the elements (meV/atom): -96

Geometry as CIF:
```
data_DyHo3Fe8
_cell_length_a 8.852
_cell_length_b 8.852
_cell_length_c 8.852
_cell_angle_alpha 33.63
_cell_angle_beta 33.63
_cell_angle_gamma 33.63
_space_group_name_H-M_alt 'P 1'
_space_group_IT_number 1
loop_
_space_group_symop_operation_xyz
'x,y,z'
loop_
_atom_site_label
_atom_site_type_symbol
_atom_site_fract_x
_atom_site_fract_y
_atom_site_fract_z
Dy1 Dy 0.000 0.000 0.000
Ho1 Ho 0.375 0.375 0.375
Ho2 Ho 0.500 0.500 0.500
Ho3 Ho 0.875 0.875 0.875
Fe1 Fe 0.187 0.187 0.187
Fe2 Fe 0.437 0.437 0.937
Fe3 Fe 0.437 0.937 0.437
Fe4 Fe 0.438 0.938 0.938
Fe5 Fe 0.688 0.688 0.688
Fe6 Fe 0.937 0.437 0.437
Fe7 Fe 0.938 0.438 0.938
Fe8 Fe 0.938 0.938 0.438
```

=====

9.
Compound: Ac2Tl3Rh
Source: Alexandria via LeMat-Bulk
Functional: PBE-GGA
Structure: relaxed

Calculated values
Energy (eV/atom): -4.1497
Formation energy from the elements (meV/atom): -372

Geometry as CIF:
```
data_Ac2Tl3Rh
_cell_length_a 4.089
_cell_length_b 5.107
_cell_length_c 8.729
_cell_angle_alpha 90.00
_cell_angle_beta 90.00
_cell_angle_gamma 90.00
_space_group_name_H-M_alt 'P 1'
_space_group_IT_number 1
loop_
_space_group_symop_operation_xyz
'x,y,z'
loop_
_atom_site_label
_atom_site_type_symbol
_atom_site_fract_x
_atom_site_fract_y
_atom_site_fract_z
Ac1 Ac 0.000 0.000 0.000
Ac2 Ac 0.000 0.500 0.426
Tl1 Tl 0.500 0.000 0.590
Tl2 Tl 0.500 0.500 0.124
Tl3 Tl 0.500 0.500 0.778
Rh1 Rh 0.500 0.000 0.262
```

=====

10.
Compound: PmThSbSe2
Source: Alexandria via LeMat-Bulk
Functional: PBE-GGA
Structure: relaxed

Calculated values
Energy (eV/atom): -5.8134

Geometry as CIF:
```
data_PmThSbSe2
_cell_length_a 7.918
_cell_length_b 7.918
_cell_length_c 7.918
_cell_angle_alpha 146.46
_cell_angle_beta 146.46
_cell_angle_gamma 48.17
_space_group_name_H-M_alt 'P 1'
_space_group_IT_number 1
loop_
_space_group_symop_operation_xyz
'x,y,z'
loop_
_atom_site_label
_atom_site_type_symbol
_atom_site_fract_x
_atom_site_fract_y
_atom_site_fract_z
Pm1 Pm 0.000 0.000 0.000
Th1 Th 0.258 0.258 0.000
Sb1 Sb 0.641 0.641 0.000
Se1 Se 0.381 0.881 0.500
Se2 Se 0.881 0.381 0.500
```

=====

11.
Compound: NaSb4Au4
Source: Alexandria via LeMat-Bulk
Functional: PBE-GGA
Structure: relaxed

Calculated values
Energy (eV/atom): -3.5283

Geometry as CIF:
```
data_NaSb4Au4
_cell_length_a 9.117
_cell_length_b 9.117
_cell_length_c 5.803
_cell_angle_alpha 90.00
_cell_angle_beta 90.00
_cell_angle_gamma 90.00
_space_group_name_H-M_alt 'P 1'
_space_group_IT_number 1
loop_
_space_group_symop_operation_xyz
'x,y,z'
loop_
_atom_site_label
_atom_site_type_symbol
_atom_site_fract_x
_atom_site_fract_y
_atom_site_fract_z
Na1 Na 0.250 0.250 0.250
Na2 Na 0.750 0.750 0.750
Sb1 Sb 0.090 0.879 0.642
Sb2 Sb 0.121 0.590 0.142
Sb3 Sb 0.379 0.910 0.142
Sb4 Sb 0.410 0.621 0.642
Sb5 Sb 0.590 0.379 0.358
Sb6 Sb 0.621 0.090 0.858
Sb7 Sb 0.879 0.410 0.858
Sb8 Sb 0.910 0.121 0.358
Au1 Au 0.047 0.880 0.144
Au2 Au 0.120 0.547 0.644
Au3 Au 0.380 0.953 0.644
Au4 Au 0.453 0.620 0.144
Au5 Au 0.547 0.380 0.856
Au6 Au 0.620 0.047 0.356
Au7 Au 0.880 0.453 0.356
Au8 Au 0.953 0.120 0.856
```

=====

12.
Compound: BaHg2P
Source: Alexandria via LeMat-Bulk
Functional: PBE-GGA
Structure: relaxed

Calculated values
Energy (eV/atom): -2.3424
Formation energy from the elements (meV/atom): -358

Geometry as CIF:
```
data_BaHg2P
_cell_length_a 4.431
_cell_length_b 4.162
_cell_length_c 6.749
_cell_angle_alpha 90.00
_cell_angle_beta 108.98
_cell_angle_gamma 90.00
_space_group_name_H-M_alt 'P 1'
_space_group_IT_number 1
loop_
_space_group_symop_operation_xyz
'x,y,z'
loop_
_atom_site_label
_atom_site_type_symbol
_atom_site_fract_x
_atom_site_fract_y
_atom_site_fract_z
Ba1 Ba 0.000 0.000 0.000
Hg1 Hg 0.278 0.000 0.558
Hg2 Hg 0.687 0.500 0.375
P1 P 0.414 0.500 0.824
```